(1)
First-principles (PBE) data for a relaxed structure of Ta4Co3Se12, as listed in the Open Quantum Materials Database.

Results
- SG = C2/m (12)
- magnetic moment (Bohr magnetons per cell) = 0.9
- uncorrected energy (eV/cell) = -123.2

Cell lengths 7.063, 7.063, 19.166 Å; angles 110.18, 110.18, 28.01 degrees
Positions (direct):
Ta  0.025  0.025  0.145
Ta  0.159  0.159  0.406
Ta  0.841  0.841  0.594
Ta  0.975  0.975  0.855
Co  0.447  0.447  0.718
Co  0.500  0.500  0.000
Co  0.553  0.553  0.282
Se  0.075  0.075  0.767
Se  0.175  0.175  0.277
Se  0.185  0.185  0.552
Se  0.355  0.355  0.889
Se  0.386  0.386  0.067
Se  0.484  0.484  0.605
Se  0.516  0.516  0.395
Se  0.614  0.614  0.933
Se  0.645  0.645  0.111
Se  0.815  0.815  0.448
Se  0.825  0.825  0.723
Se  0.925  0.925  0.233

=====

(2)
First-principles (PBE) data for a relaxed structure of NdZnInTe3, as listed in the Open Quantum Materials Database.

Results
- SG = Pnma (62)
- energy above the lowest structure with this stoichiometry (eV/atom) = 0.0178
- magnetic moment (Bohr magnetons per cell) = 0.0
- uncorrected energy (eV/cell) = -91.2

Cell lengths 15.605, 4.422, 11.956 Å; angles 90.00, 90.00, 90.00 degrees
Positions (direct):
Nd  0.025  0.250  0.161
Nd  0.475  0.750  0.661
Nd  0.525  0.250  0.339
Nd  0.975  0.750  0.839
Zn  0.017  0.750  0.399
Zn  0.483  0.250  0.899
Zn  0.517  0.750  0.101
Zn  0.983  0.250  0.601
In  0.239  0.250  0.464
In  0.261  0.750  0.964
In  0.739  0.250  0.036
In  0.761  0.750  0.536
Te  0.087  0.750  0.610
Te  0.107  0.250  0.921
Te  0.151  0.750  0.257
Te  0.349  0.250  0.757
Te  0.393  0.750  0.421
Te  0.413  0.250  0.110
Te  0.587  0.750  0.890
Te  0.607  0.250  0.579
Te  0.651  0.750  0.243
Te  0.849  0.250  0.743
Te  0.893  0.750  0.079
Te  0.913  0.250  0.390

=====

(3)
First-principles (PBE) data for a relaxed structure of HfBeSi, as listed in the Open Quantum Materials Database.

Results
- SG = F-43m (216)
- energy above the lowest structure with this stoichiometry (eV/atom) = 0.5533
- magnetic moment (Bohr magnetons per cell) = 0.0
- uncorrected energy (eV/cell) = -19.4

Cell lengths 3.972, 3.972, 3.972 Å; angles 60.00, 60.00, 60.00 degrees
Positions (direct):
Hf  0.000  0.000  0.000
Be  0.250  0.250  0.250
Si  0.500  0.500  0.500